# 1
Compound: Al2Zn3Ga4
Source: Alexandria
Functional: PBE-GGA
Structure: relaxed

Calculated values
* final energy: -0.093 hartree per atom
* E_form: 74 meV/atom
* excess energy over the best structure of this formula in the dataset: 22 meV/atom
* M_tot: 0.00 Bohr magnetons per cell

Unit cell a=5.112 b=4.690 c=10.588 alpha=48.95 beta=76.03 gamma=56.97
Fractional positions:
Al  0.668  0.351  0.313
Al  0.332  0.649  0.687
Zn  0.649  0.062  0.641
Zn  0.000  0.000  0.000
Zn  0.351  0.938  0.359
Ga  0.341  0.291  0.028
Ga  0.987  0.361  0.665
Ga  0.013  0.639  0.335
Ga  0.659  0.709  0.972


# 2
Compound: BeCS2Cl
Source: Alexandria
Functional: PBE-GGA
Structure: relaxed

Calculated values
* final energy: -0.115 hartree per atom
* excess energy over the best structure of this formula in the dataset: 183 meV/atom
* energy relative to the elements, uncorrected: 1.48 eV per atom
* M_tot: 0.00 Bohr magnetons per cell

Unit cell a=4.345 b=4.345 c=4.218 alpha=90.00 beta=90.00 gamma=90.00
Fractional positions:
Be  0.000  0.000  0.000
S  0.000  0.500  0.000
S  0.500  0.000  0.000
C  0.500  0.500  0.500
Cl  0.000  0.000  0.500


# 3
Compound: ThMgCl6
Source: Alexandria
Functional: PBE-GGA
Structure: relaxed

Calculated values
* final energy: -0.166 hartree per atom
* excess energy over the best structure of this formula in the dataset: 5 meV/atom
* energy relative to the elements, uncorrected: -2.00 eV per atom
* M_tot: 0.00 Bohr magnetons per cell

Unit cell a=6.709 b=6.711 c=7.176 alpha=62.14 beta=62.13 gamma=59.99
Fractional positions:
Th  0.000  0.000  0.000
Mg  0.500  0.500  0.500
Cl  0.123  0.394  0.741
Cl  0.741  0.123  0.741
Cl  0.606  0.259  0.259
Cl  0.259  0.877  0.259
Cl  0.877  0.606  0.259
Cl  0.394  0.741  0.741


Copy entry 3 word for word.
Compound: ThMgCl6
Source: Alexandria
Functional: PBE-GGA
Structure: relaxed

Calculated values
* final energy: -0.166 hartree per atom
* excess energy over the best structure of this formula in the dataset: 5 meV/atom
* energy relative to the elements, uncorrected: -2.00 eV per atom
* M_tot: 0.00 Bohr magnetons per cell

Unit cell a=6.709 b=6.711 c=7.176 alpha=62.14 beta=62.13 gamma=59.99
Fractional positions:
Th  0.000  0.000  0.000
Mg  0.500  0.500  0.500
Cl  0.123  0.394  0.741
Cl  0.741  0.123  0.741
Cl  0.606  0.259  0.259
Cl  0.259  0.877  0.259
Cl  0.877  0.606  0.259
Cl  0.394  0.741  0.741


- The highest final energy belongs to which entry?
  Al2Zn3Ga4


- Which value of final energy does entry 2 give?
  -0.115 hartree per atom


- Which value of M_tot does entry 1 give?
  0.00 Bohr magnetons per cell